# 1
Density functional theory data (PBE) for a relaxed CoSnHPt2 crystal.

Computed properties:
E_tot = -5.424 eV per atom

a b c (Å): 4.017 4.017 3.997
angles (deg): 90.00 90.00 90.00
Positions (direct):
Pt 0.500 0.000 0.000
Pt 0.000 0.500 0.000
Co 0.000 0.000 0.500
Sn 0.500 0.500 0.500
H 0.000 0.000 0.000


# 2
Density functional theory data (PBE) for a relaxed Ta2CoHPt crystal.

Computed properties:
ΔE to the lowest computed polymorph = 0.128 eV/atom
E_tot = -8.230 eV per atom

a b c (Å): 4.035 4.035 3.959
angles (deg): 90.00 90.00 90.00
Positions (direct):
Co 0.500 0.500 0.500
H 0.000 0.000 0.000
Ta 0.000 0.500 0.000
Ta 0.500 0.000 0.000
Pt 0.000 0.000 0.500


# 3
Density functional theory data (PBE) for a relaxed Ta2CoHPt crystal.

Computed properties:
ΔE to the lowest computed polymorph = 0.000 eV/atom
E_tot = -8.357 eV per atom

a b c (Å): 4.031 4.031 3.910
angles (deg): 90.00 90.00 90.00
Positions (direct):
H 0.000 0.000 0.000
Ta 0.000 0.500 0.000
Ta 0.500 0.000 0.000
Pt 0.500 0.500 0.500
Co 0.000 0.000 0.500


# 4
Density functional theory data (PBE) for a relaxed TaCo2HPt crystal.

Computed properties:
ΔE to the lowest computed polymorph = 0.008 eV/atom
E_tot = -7.347 eV per atom

a b c (Å): 3.863 3.863 3.734
angles (deg): 90.00 90.00 90.00
Positions (direct):
Co 0.000 0.500 0.000
Co 0.500 0.000 0.000
H 0.000 0.000 0.000
Pt 0.000 0.000 0.500
Ta 0.500 0.500 0.500


# 5
Density functional theory data (PBE) for a relaxed TaCo2HPt crystal.

Computed properties:
ΔE to the lowest computed polymorph = 0.000 eV/atom
E_tot = -7.355 eV per atom

a b c (Å): 3.788 3.788 3.896
angles (deg): 90.00 90.00 90.00
Positions (direct):
Co 0.000 0.500 0.000
Co 0.500 0.000 0.000
H 0.000 0.000 0.000
Pt 0.500 0.500 0.500
Ta 0.000 0.000 0.500


# 6
Density functional theory data (PBE) for a relaxed TiCo2HPt crystal.

Computed properties:
ΔE to the lowest computed polymorph = 0.063 eV/atom
E_tot = -6.677 eV per atom

a b c (Å): 3.773 3.773 3.775
angles (deg): 90.00 90.00 90.00
Positions (direct):
H 0.000 0.000 0.000
Co 0.000 0.500 0.000
Co 0.500 0.000 0.000
Ti 0.500 0.500 0.500
Pt 0.000 0.000 0.500


# 7
Density functional theory data (PBE) for a relaxed Ti2CoHPt crystal.

Computed properties:
ΔE to the lowest computed polymorph = 0.000 eV/atom
E_tot = -7.035 eV per atom

a b c (Å): 4.003 4.003 3.681
angles (deg): 90.00 90.00 90.00
Positions (direct):
Ti 0.000 0.500 0.000
Ti 0.500 0.000 0.000
H 0.000 0.000 0.000
Co 0.000 0.000 0.500
Pt 0.500 0.500 0.500


# 8
Density functional theory data (PBE) for a relaxed Ti2CoHPt crystal.

Computed properties:
ΔE to the lowest computed polymorph = 0.147 eV/atom
E_tot = -6.887 eV per atom

a b c (Å): 3.970 3.970 3.809
angles (deg): 90.00 90.00 90.00
Positions (direct):
Ti 0.000 0.500 0.000
Ti 0.500 0.000 0.000
Pt 0.000 0.000 0.500
H 0.000 0.000 0.000
Co 0.500 0.500 0.500


What is the formula in the sixth record? TiCo2HPt